1.
DFT (PBE) results for a relaxed RbBa crystal.

Total moment ... 0.0 Bohr magnetons per cell
Total energy ... -1.28 eV per atom

Cell: 4.5511 4.5511 16.8596 Å, 90.00 90.00 120.00°
Space group P6_3mc (No. 186)
Asymmetric unit:
Rb (0.3333, 0.6667, 0.0000) x2
Ba (0.3333, 0.6667, 0.2618) x2

***

2.
DFT (PBE) results for a relaxed KRbBi3 crystal.

Total moment ... 0.0 Bohr magnetons per cell
ΔE to the lowest computed polymorph ... 0 kJ/mol of formula units
Total energy ... -2.20 eV per atom

Cell: 6.169 6.169 6.169 Å, 90.00 90.00 90.00°
Space group Pm-3m (No. 221)
Asymmetric unit:
K (0.000, 0.000, 0.000) x1
Rb (0.500, 0.500, 0.500) x1
Bi (0.000, 0.000, 0.500) x3

***

Number 1: formation energy from the elements 0.3 eV/f.u.. Number 2: formation energy from the elements 2.7 eV/f.u..